CeNi2P2: optimized geometry, PBE-GGA.

For the calculated volume, the calculation gives 146.4 Å³ per cell. For the final energy, the calculation gives -0.4904 Ry/atom. Its density of states at the Fermi level is 0.7724 states/eV per atom. The formation energy from the elements is -1.01 eV per atom.

Unit cell a=3.926 b=3.926 c=9.498 alpha=90.00 beta=90.00 gamma=90.00
Element x y z (fractional)
Ce1 0.000 0.000 0.000
Ce2 0.500 0.500 0.500
Ni1 0.000 0.500 0.250
Ni2 0.000 0.500 0.750
Ni3 0.500 0.000 0.250
Ni4 0.500 0.000 0.750
P1 0.000 0.000 0.375
P2 0.000 0.000 0.625
P3 0.500 0.500 0.125
P4 0.500 0.500 0.875

---

CeNi4P2: optimized geometry, PBE-GGA.

For the calculated volume, the calculation gives 187.2 Å³ per cell. For the final energy, the calculation gives -0.4771 Ry/atom. Its density of states at the Fermi level is 1.2598 states/eV per atom. The formation energy from the elements is -0.79 eV per atom.

Unit cell a=7.174 b=7.174 c=3.637 alpha=90.00 beta=90.00 gamma=90.00
Element x y z (fractional)
Ce1 0.000 0.000 0.000
Ce2 0.500 0.500 0.500
Ni1 0.088 0.340 0.500
Ni2 0.160 0.588 0.000
Ni3 0.340 0.088 0.500
Ni4 0.412 0.840 0.000
Ni5 0.588 0.160 0.000
Ni6 0.660 0.912 0.500
Ni7 0.840 0.412 0.000
Ni8 0.912 0.660 0.500
P1 0.219 0.781 0.500
P2 0.281 0.281 0.000
P3 0.719 0.719 0.000
P4 0.781 0.219 0.500

---

Ce2Ni5P4: optimized geometry, PBE-GGA.

For the calculated volume, the calculation gives 164.8 Å³ per cell. For the final energy, the calculation gives -0.4738 Ry/atom. Its density of states at the Fermi level is 1.3468 states/eV per atom. The formation energy from the elements is -0.77 eV per atom.

Unit cell a=7.998 b=6.925 c=5.511 alpha=79.15 beta=58.26 gamma=42.59
Element x y z (fractional)
Ce1 0.145 0.145 0.855
Ce2 0.855 0.855 0.145
Ni1 0.000 0.000 0.500
Ni2 0.250 0.250 0.250
Ni3 0.500 0.500 0.000
Ni4 0.500 0.500 0.500
Ni5 0.750 0.750 0.750
P1 0.216 0.524 0.476
P2 0.476 0.784 0.216
P3 0.524 0.216 0.784
P4 0.784 0.476 0.524

---

Ce2Ni12P5: optimized geometry, PBE-GGA.

For the calculated volume, the calculation gives 493.8 Å³ per cell. For the final energy, the calculation gives -0.4699 Ry/atom. Its density of states at the Fermi level is 0.9886 states/eV per atom. The formation energy from the elements is -0.69 eV per atom.

Unit cell a=10.796 b=3.670 c=13.097 alpha=90.00 beta=107.93 gamma=90.00
Element x y z (fractional)
Ce1 0.221 0.250 0.183
Ce2 0.255 0.250 0.688
Ce3 0.745 0.750 0.312
Ce4 0.779 0.750 0.817
Ni1 0.067 0.750 0.297
Ni2 0.081 0.750 0.992
Ni3 0.082 0.750 0.490
Ni4 0.094 0.750 0.804
Ni5 0.201 0.250 0.418
Ni6 0.213 0.250 0.939
Ni7 0.335 0.750 0.360
Ni8 0.337 0.750 0.062
Ni9 0.430 0.250 0.517
Ni10 0.436 0.250 0.947
Ni11 0.493 0.750 0.653
Ni12 0.496 0.750 0.841
Ni13 0.504 0.250 0.159
Ni14 0.507 0.250 0.347
Ni15 0.564 0.750 0.053
Ni16 0.570 0.750 0.483
Ni17 0.663 0.250 0.938
Ni18 0.665 0.250 0.640
Ni19 0.787 0.750 0.061
Ni20 0.799 0.750 0.582
Ni21 0.906 0.250 0.196
Ni22 0.918 0.250 0.510
Ni23 0.919 0.250 0.008
Ni24 0.933 0.250 0.703
P1 0.004 0.250 0.877
P2 0.010 0.750 0.629
P3 0.302 0.750 0.519
P4 0.311 0.750 0.886
P5 0.450 0.750 0.241
P6 0.550 0.250 0.759
P7 0.689 0.250 0.114
P8 0.698 0.250 0.481
P9 0.990 0.250 0.371
P10 0.996 0.750 0.123

---

CeNi4P3: optimized geometry, PBE-GGA.

For the calculated volume, the calculation gives 109.2 Å³ per cell. For the final energy, the calculation gives -0.4742 Ry/atom. Its density of states at the Fermi level is 0.9334 states/eV per atom. The formation energy from the elements is -0.79 eV per atom.

Unit cell a=3.842 b=3.842 c=7.400 alpha=90.00 beta=90.00 gamma=90.00
Element x y z (fractional)
Ce1 0.000 0.000 0.000
Ni1 0.000 0.500 0.328
Ni2 0.000 0.500 0.672
Ni3 0.500 0.000 0.328
Ni4 0.500 0.000 0.672
P1 0.000 0.000 0.500
P2 0.500 0.500 0.160
P3 0.500 0.500 0.840

---

Ce6Ni6P17: optimized geometry, PBE-GGA.

For the calculated volume, the calculation gives 505.1 Å³ per cell. For the final energy, the calculation gives -0.4744 Ry/atom. Its density of states at the Fermi level is 1.1472 states/eV per atom. The formation energy from the elements is -0.86 eV per atom.

Unit cell a=8.689 b=8.689 c=8.689 alpha=109.47 beta=109.47 gamma=109.47
Element x y z (fractional)
Ce1 0.000 0.291 0.291
Ce2 0.000 0.709 0.709
Ce3 0.291 0.000 0.291
Ce4 0.291 0.291 0.000
Ce5 0.709 0.000 0.709
Ce6 0.709 0.709 0.000
Ni1 0.250 0.500 0.750
Ni2 0.250 0.750 0.500
Ni3 0.500 0.250 0.750
Ni4 0.500 0.750 0.250
Ni5 0.750 0.250 0.500
Ni6 0.750 0.500 0.250
P1 0.000 0.000 0.000
P2 0.000 0.000 0.415
P3 0.000 0.229 0.631
P4 0.000 0.415 0.000
P5 0.000 0.631 0.229
P6 0.229 0.000 0.631
P7 0.229 0.631 0.000
P8 0.369 0.369 0.598
P9 0.369 0.598 0.369
P10 0.402 0.771 0.771
P11 0.415 0.000 0.000
P12 0.585 0.585 0.585
P13 0.598 0.369 0.369
P14 0.631 0.000 0.229
P15 0.631 0.229 0.000
P16 0.771 0.402 0.771
P17 0.771 0.771 0.402

---

CeNiP: optimized geometry, PBE-GGA.

For the calculated volume, the calculation gives 111.6 Å³ per cell. For the final energy, the calculation gives -0.4682 Ry/atom. Its density of states at the Fermi level is 1.1343 states/eV per atom. The formation energy from the elements is -0.66 eV per atom.

Unit cell a=4.972 b=4.030 c=5.571 alpha=90.00 beta=90.00 gamma=90.00
Element x y z (fractional)
Ce1 0.250 0.000 0.227
Ce2 0.750 0.000 0.773
Ni1 0.250 0.500 0.850
Ni2 0.750 0.500 0.150
P1 0.000 0.500 0.500
P2 0.500 0.500 0.500

---

CeNiP3: optimized geometry, PBE-GGA.

For the calculated volume, the calculation gives 332.7 Å³ per cell. For the final energy, the calculation gives -0.4640 Ry/atom. Its density of states at the Fermi level is 0.7164 states/eV per atom. The formation energy from the elements is -0.72 eV per atom.

Unit cell a=11.721 b=5.320 c=5.335 alpha=90.00 beta=90.00 gamma=90.00
Element x y z (fractional)
Ce1 0.194 0.002 0.250
Ce2 0.194 0.498 0.750
Ce3 0.806 0.502 0.250
Ce4 0.806 0.998 0.750
Ni1 0.422 0.750 0.000
Ni2 0.422 0.750 0.500
Ni3 0.578 0.250 0.000
Ni4 0.578 0.250 0.500
P1 0.001 0.750 0.000
P2 0.001 0.750 0.500
P3 0.290 0.001 0.750
P4 0.290 0.499 0.250
P5 0.435 0.113 0.250
P6 0.435 0.387 0.750
P7 0.565 0.613 0.250
P8 0.565 0.887 0.750
P9 0.710 0.501 0.750
P10 0.710 0.999 0.250
P11 0.999 0.250 0.000
P12 0.999 0.250 0.500

---

CeNi3P3: optimized geometry, PBE-GGA.

The calculation puts the energy above the lowest structure with this stoichiometry at 0.000 eV per atom. For the calculated volume, the calculation gives 235.5 Å³ per cell. For the final energy, the calculation gives -0.4689 Ry/atom. Its density of states at the Fermi level is 0.7984 states/eV per atom. The formation energy from the elements is -0.74 eV per atom.

Unit cell a=7.582 b=7.582 c=7.582 alpha=50.01 beta=50.01 gamma=50.01
Element x y z (fractional)
Ce1 0.167 0.167 0.167
Ce2 0.833 0.833 0.833
Ni1 0.036 0.374 0.708
Ni2 0.292 0.964 0.626
Ni3 0.374 0.708 0.036
Ni4 0.626 0.292 0.964
Ni5 0.708 0.036 0.374
Ni6 0.964 0.626 0.292
P1 0.083 0.732 0.405
P2 0.268 0.595 0.917
P3 0.405 0.083 0.732
P4 0.595 0.917 0.268
P5 0.732 0.405 0.083
P6 0.917 0.268 0.595

---

Question: formation energy from the elements of number 7 (CeNiP)?
Answer: -0.66 eV per atom

---

Question: Among the records above, which one has the lowest final energy?
Answer: CeNi2P2

---

Question: The lowest calculated volume belongs to which entry?
Answer: CeNi4P3